The following is a DFT calculation (PBEsol) of a geometry-optimized ScFe2Cl structure.

Space-group type ... F-43m
Formation energy without anion corrections ... 0.29 eV per atom
Magnetization ... 5.06 μB/f.u.

a = 4.3644 Å, b = 4.3644 Å, c = 4.3644 Å
α = 60.00°, β = 60.00°, γ = 60.00°
Last column: magnetic moment on the atom in μB.
Positions (direct):
Sc (0.2500, 0.2500, 0.2500)  -0.08
Fe (0.0000, 0.0000, 0.0000)  2.37
Fe (0.7500, 0.7500, 0.7500)  2.63
Cl (0.5000, 0.5000, 0.5000)  0.12